1.
Below is a relaxed structure of Ba2ThTe4, with properties calculated at the GGA-PBE level.

## Properties
Final energy (eV/atom): -4.94
V (Å³/cell): 592.7
ΔE_f (raw) (eV/f.u.): -10.77

Cell lengths 8.709, 13.985, 4.866 Å; angles 90.00, 90.00, 90.00 degrees
Fractional positions:
Ba1 0.091 0.182 0.000
Ba2 0.409 0.682 0.000
Ba3 0.591 0.318 0.000
Ba4 0.909 0.818 0.000
Th1 0.000 0.500 0.500
Th2 0.500 0.000 0.500
Te1 0.129 0.706 0.500
Te2 0.226 0.449 0.000
Te3 0.274 0.949 0.000
Te4 0.371 0.206 0.500
Te5 0.629 0.794 0.500
Te6 0.726 0.051 0.000
Te7 0.774 0.551 0.000
Te8 0.871 0.294 0.500

2.
Below is a relaxed structure of BaThTe3, with properties calculated at the GGA-PBE level.

## Properties
Energy above the most stable polymorph in this dataset (eV per atom): 0.000
Final energy (eV/atom): -5.20
V (Å³/cell): 760.3
ΔE_f (raw) (eV/f.u.): -7.23

Cell lengths 8.608, 4.803, 18.392 Å; angles 90.00, 90.00, 90.00 degrees
Fractional positions:
Ba1 0.129 0.250 0.200
Ba2 0.371 0.750 0.700
Ba3 0.629 0.250 0.300
Ba4 0.871 0.750 0.800
Th1 0.236 0.750 0.457
Th2 0.264 0.250 0.957
Th3 0.736 0.750 0.043
Th4 0.764 0.250 0.543
Te1 0.010 0.250 0.406
Te2 0.125 0.750 0.052
Te3 0.169 0.250 0.794
Te4 0.331 0.750 0.294
Te5 0.375 0.250 0.552
Te6 0.490 0.750 0.906
Te7 0.510 0.250 0.094
Te8 0.625 0.750 0.448
Te9 0.669 0.250 0.706
Te10 0.831 0.750 0.206
Te11 0.875 0.250 0.948
Te12 0.990 0.750 0.594

3.
Below is a relaxed structure of BaThTe4, with properties calculated at the GGA-PBE level.

## Properties
Energy above the most stable polymorph in this dataset (eV per atom): 0.184
Final energy (eV/atom): -4.71
V (Å³/cell): 237.6
ΔE_f (raw) (eV/f.u.): -6.37

Cell lengths 5.192, 5.192, 8.817 Å; angles 90.00, 90.00, 90.00 degrees
Fractional positions:
Ba1 0.000 0.000 0.000
Th1 0.500 0.500 0.500
Te1 0.000 0.500 0.279
Te2 0.000 0.500 0.721
Te3 0.500 0.000 0.279
Te4 0.500 0.000 0.721

4.
Below is a relaxed structure of BaThTe3, with properties calculated at the GGA-PBE level.

## Properties
Energy above the most stable polymorph in this dataset (eV per atom): 0.050
Final energy (eV/atom): -5.15
V (Å³/cell): 421.3
ΔE_f (raw) (eV/f.u.): -6.98

Cell lengths 9.202, 9.202, 10.276 Å; angles 91.13, 91.13, 28.96 degrees
Fractional positions:
Ba1 0.106 0.106 0.422
Ba2 0.894 0.894 0.578
Th1 0.317 0.317 0.160
Th2 0.683 0.683 0.840
Te1 0.147 0.147 0.038
Te2 0.251 0.251 0.668
Te3 0.460 0.460 0.324
Te4 0.540 0.540 0.676
Te5 0.749 0.749 0.332
Te6 0.853 0.853 0.962

5.
Below is a relaxed structure of BaThTe4, with properties calculated at the GGA-PBE level.

## Properties
Energy above the most stable polymorph in this dataset (eV per atom): 0.000
Final energy (eV/atom): -4.90
V (Å³/cell): 433.8
ΔE_f (raw) (eV/f.u.): -7.48

Cell lengths 8.856, 8.856, 10.647 Å; angles 126.23, 126.23, 42.18 degrees
Fractional positions:
Ba1 0.100 0.100 0.307
Ba2 0.900 0.900 0.693
Th1 0.358 0.358 0.220
Th2 0.642 0.642 0.780
Te1 0.102 0.102 0.661
Te2 0.109 0.610 0.956
Te3 0.389 0.389 0.551
Te4 0.390 0.891 0.044
Te5 0.610 0.109 0.956
Te6 0.611 0.611 0.449
Te7 0.891 0.390 0.044
Te8 0.898 0.898 0.339

6.
Below is a relaxed structure of BaThTe2, with properties calculated at the GGA-PBE level.

## Properties
Energy above the most stable polymorph in this dataset (eV per atom): 0.028
Final energy (eV/atom): -5.20
V (Å³/cell): 146.7
ΔE_f (raw) (eV/f.u.): -5.19

Cell lengths 8.866, 8.866, 8.866 Å; angles 29.19, 29.19, 29.19 degrees
Fractional positions:
Ba1 0.000 0.000 0.000
Th1 0.826 0.826 0.826
Te1 0.237 0.237 0.237
Te2 0.420 0.420 0.420

7.
Below is a relaxed structure of BaThTe2, with properties calculated at the GGA-PBE level.

## Properties
Energy above the most stable polymorph in this dataset (eV per atom): 0.034
Final energy (eV/atom): -5.20
V (Å³/cell): 129.7
ΔE_f (raw) (eV/f.u.): -5.16

Cell lengths 3.969, 3.969, 8.237 Å; angles 90.00, 90.00, 90.00 degrees
Fractional positions:
Ba1 0.000 0.000 0.000
Th1 0.000 0.000 0.500
Te1 0.500 0.500 0.279
Te2 0.500 0.500 0.721

8.
Below is a relaxed structure of Ba2Th3Te8, with properties calculated at the GGA-PBE level.

## Properties
Final energy (eV/atom): -5.23
V (Å³/cell): 510.8
ΔE_f (raw) (eV/f.u.): -16.79

Cell lengths 10.093, 10.093, 5.419 Å; angles 90.00, 90.00, 112.27 degrees
Fractional positions:
Ba1 0.238 0.762 0.000
Ba2 0.762 0.238 0.000
Th1 0.220 0.220 0.500
Th2 0.500 0.500 0.000
Th3 0.780 0.780 0.500
Te1 0.114 0.886 0.500
Te2 0.153 0.374 0.000
Te3 0.374 0.153 0.000
Te4 0.394 0.606 0.500
Te5 0.606 0.394 0.500
Te6 0.626 0.847 0.000
Te7 0.847 0.626 0.000
Te8 0.886 0.114 0.500

9.
Below is a relaxed structure of BaThTe4, with properties calculated at the GGA-PBE level.

## Properties
Energy above the most stable polymorph in this dataset (eV per atom): 0.197
Final energy (eV/atom): -4.70
V (Å³/cell): 513.5
ΔE_f (raw) (eV/f.u.): -6.29

Cell lengths 8.641, 8.641, 8.374 Å; angles 90.09, 90.09, 55.22 degrees
Fractional positions:
Ba1 0.173 0.173 0.167
Ba2 0.827 0.827 0.833
Th1 0.464 0.464 0.737
Th2 0.536 0.536 0.263
Te1 0.148 0.673 0.465
Te2 0.237 0.763 0.000
Te3 0.268 0.268 0.796
Te4 0.327 0.852 0.535
Te5 0.673 0.148 0.465
Te6 0.732 0.732 0.204
Te7 0.763 0.237 0.000
Te8 0.852 0.327 0.535

10.
Below is a relaxed structure of Ba3ThTl2Te6, with properties calculated at the GGA-PBE level.

## Properties
Final energy (eV/atom): -4.34
V (Å³/cell): 492.4
ΔE_f (raw) (eV/f.u.): -15.28

Cell lengths 8.591, 8.591, 8.197 Å; angles 100.09, 100.09, 119.71 degrees
Fractional positions:
Ba1 0.000 0.000 0.000
Ba2 0.326 0.674 0.000
Ba3 0.674 0.326 0.000
Th1 0.500 0.500 0.500
Tl1 0.163 0.837 0.500
Tl2 0.837 0.163 0.500
Te1 0.116 0.423 0.268
Te2 0.276 0.276 0.735
Te3 0.423 0.116 0.268
Te4 0.577 0.884 0.732
Te5 0.724 0.724 0.265
Te6 0.884 0.577 0.732

11.
Below is a relaxed structure of BaTi3Te, with properties calculated at the GGA-PBE level.

## Properties
Energy above the most stable polymorph in this dataset (eV per atom): 0.000
Final energy (eV/atom): -5.16
V (Å³/cell): 141.3
ΔE_f (raw) (eV/f.u.): 2.95

Cell lengths 5.209, 5.209, 5.209 Å; angles 90.00, 90.00, 90.00 degrees
Fractional positions:
Ba1 0.000 0.000 0.000
Ti1 0.000 0.500 0.500
Ti2 0.500 0.000 0.500
Ti3 0.500 0.500 0.000
Te1 0.500 0.500 0.500

12.
Below is a relaxed structure of BaTi3Te, with properties calculated at the GGA-PBE level.

## Properties
Energy above the most stable polymorph in this dataset (eV per atom): 1.054
Final energy (eV/atom): -4.11
V (Å³/cell): 127.1
ΔE_f (raw) (eV/f.u.): 8.22

Cell lengths 5.028, 5.028, 5.028 Å; angles 90.00, 90.00, 90.00 degrees
Fractional positions:
Ba1 0.000 0.000 0.000
Ti1 0.000 0.000 0.500
Ti2 0.000 0.500 0.000
Ti3 0.500 0.000 0.000
Te1 0.500 0.500 0.500

13.
Below is a relaxed structure of BaTiTe3, with properties calculated at the GGA-PBE level.

## Properties
Final energy (eV/atom): -3.13
V (Å³/cell): 255.4
ΔE_f (raw) (eV/f.u.): 3.60

Cell lengths 6.344, 6.344, 6.344 Å; angles 90.00, 90.00, 90.00 degrees
Fractional positions:
Ba1 0.000 0.000 0.000
Ti1 0.500 0.500 0.500
Te1 0.000 0.000 0.500
Te2 0.000 0.500 0.000
Te3 0.500 0.000 0.000

14.
Below is a relaxed structure of Ba3TiTe, with properties calculated at the GGA-PBE level.

## Properties
Energy above the most stable polymorph in this dataset (eV per atom): 0.000
Final energy (eV/atom): -3.21
V (Å³/cell): 209.3
ΔE_f (raw) (eV/f.u.): 0.74

Cell lengths 5.937, 5.937, 5.937 Å; angles 90.00, 90.00, 90.00 degrees
Fractional positions:
Ba1 0.000 0.000 0.500
Ba2 0.000 0.500 0.000
Ba3 0.500 0.000 0.000
Ti1 0.000 0.000 0.000
Te1 0.500 0.500 0.500

15.
Below is a relaxed structure of BaTiTe3, with properties calculated at the GGA-PBE level.

## Properties
Final energy (eV/atom): -4.86
V (Å³/cell): 340.8
ΔE_f (raw) (eV/f.u.): -5.03

Cell lengths 5.417, 5.417, 11.920 Å; angles 90.00, 102.99, 90.00 degrees
Fractional positions:
Ba1 0.155 0.250 0.314
Ba2 0.845 0.750 0.686
Ti1 0.426 0.250 0.848
Ti2 0.574 0.750 0.152
Te1 0.058 0.750 0.118
Te2 0.311 0.250 0.619
Te3 0.448 0.750 0.893
Te4 0.552 0.250 0.107
Te5 0.689 0.750 0.381
Te6 0.942 0.250 0.882

16.
Below is a relaxed structure of BaTi2Te, with properties calculated at the GGA-PBE level.

## Properties
Final energy (eV/atom): -5.14
V (Å³/cell): 247.1
ΔE_f (raw) (eV/f.u.): 0.29

Cell lengths 10.842, 10.842, 10.842 Å; angles 153.85, 153.85, 37.32 degrees
Fractional positions:
Ba1 0.375 0.625 0.750
Ba2 0.625 0.375 0.250
Ti1 0.000 0.000 0.000
Ti2 0.000 0.000 0.500
Ti3 0.000 0.500 0.000
Ti4 0.500 0.000 0.500
Te1 0.125 0.875 0.250
Te2 0.875 0.125 0.750

17.
Below is a relaxed structure of BaTiTe3, with properties calculated at the GGA-PBE level.

## Properties
Final energy (eV/atom): -4.80
V (Å³/cell): 164.1
ΔE_f (raw) (eV/f.u.): -4.75

Cell lengths 5.475, 5.475, 5.475 Å; angles 90.00, 90.00, 90.00 degrees
Fractional positions:
Ba1 0.000 0.000 0.000
Ti1 0.500 0.500 0.500
Te1 0.000 0.500 0.500
Te2 0.500 0.000 0.500
Te3 0.500 0.500 0.000

18.
Below is a relaxed structure of Ba2TiTe, with properties calculated at the GGA-PBE level.

## Properties
Final energy (eV/atom): -3.66
V (Å³/cell): 343.2
ΔE_f (raw) (eV/f.u.): 0.23

Cell lengths 7.703, 7.703, 7.703 Å; angles 104.57, 104.57, 119.79 degrees
Fractional positions:
Ba1 0.108 0.125 0.483
Ba2 0.375 0.892 0.017
Ba3 0.642 0.625 0.517
Ba4 0.875 0.358 0.983
Ti1 0.250 0.750 0.500
Ti2 0.500 0.500 0.000
Te1 0.000 0.000 0.000
Te2 0.750 0.250 0.500

19.
Below is a relaxed structure of Ba2TiTl3Te6, with properties calculated at the GGA-PBE level.

## Properties
Final energy (eV/atom): -3.94
V (Å³/cell): 451.4
ΔE_f (raw) (eV/f.u.): -9.64

Cell lengths 8.329, 8.329, 8.071 Å; angles 100.36, 100.36, 120.18 degrees
Fractional positions:
Ba1 0.165 0.835 0.000
Ba2 0.835 0.165 0.000
Ti1 0.500 0.500 0.000
Tl1 0.000 0.000 0.500
Tl2 0.335 0.665 0.500
Tl3 0.665 0.335 0.500
Te1 0.149 0.423 0.779
Te2 0.298 0.298 0.226
Te3 0.423 0.149 0.779
Te4 0.577 0.851 0.221
Te5 0.702 0.702 0.774
Te6 0.851 0.577 0.221

20.
Below is a relaxed structure of BaTlTe2, with properties calculated at the GGA-PBE level.

## Properties
Final energy (eV/atom): -3.48
V (Å³/cell): 145.5
ΔE_f (raw) (eV/f.u.): -3.36

Cell lengths 5.904, 5.904, 5.904 Å; angles 60.00, 60.00, 60.00 degrees
Fractional positions:
Ba1 0.000 0.000 0.000
Tl1 0.500 0.500 0.500
Te1 0.250 0.250 0.250
Te2 0.750 0.750 0.750